LaMoO4F: relaxed, PBE with a Hubbard U.

Summary:
DFT total energy = -104.3 eV for the cell shown
Fermi-level density of states = 0.00 states/eV/atom
Space group = C2/m

Geometry as extended XYZ:
```
14
Lattice="6.316 -0.260 0.059 1.847 6.045 0.059 1.717 1.217 6.925" Properties=species:S:1:pos:R:3 pbc="T T T"
La 3.199 2.267 6.172
La 6.681 4.735 0.872
Mo 6.553 4.644 5.087
Mo 3.327 2.358 1.957
O 3.066 2.173 3.704
O 6.814 4.830 3.340
O 1.878 3.057 1.118
O 4.756 3.371 1.652
O 6.373 6.244 5.925
O 3.507 0.759 1.118
O 5.124 3.632 5.392
O 8.002 3.945 5.925
F 0.416 0.295 1.196
F 9.464 6.708 5.848
```